Model i:
First-principles (GGA-PBE) data for a relaxed structure of LiNiOs2, as listed in the Alexandria database.

```
LiNiOs2
1.0
8.994 0.002 0.001
8.603 2.624 0.001
8.603 1.284 2.288
Li Os Ni
1 2 1
Cartesian
6.550 0.977 0.573 Li
12.985 1.938 1.135 Os
0.116 0.017 0.010 Os
19.650 2.932 1.718 Ni
```

Calculated values
- Total moment: 0.3 μB/f.u.

Model ii:
First-principles (GGA-PBE) data for a relaxed structure of LiNiOs2, as listed in the Alexandria database.

```
LiNiOs2
1.0
-1.229 -4.216 0.376
2.761 -1.680 2.997
-2.490 3.626 0.282
Li Os Ni
1 2 1
Cartesian
0.766 -2.948 1.686 Li
0.519 -0.501 2.483 Os
0.000 0.000 0.000 Os
-1.477 -1.769 1.172 Ni
```

Calculated values
- Total moment: 0.0 μB/f.u.

Which of them is least stable? Easy: model i.

Model i:
First-principles (GGA-PBE) data for a relaxed structure of LiNiOs2, as listed in the Alexandria database.

```
LiNiOs2
1.0
-1.189 -0.119 -4.579
-4.123 -2.124 -0.942
1.975 3.549 2.429
Li Ni Os
1 1 2
Cartesian
-2.580 -1.090 -2.682 Li
-2.494 0.113 -0.732 Ni
-0.879 1.178 -2.397 Os
-0.039 -0.016 -0.040 Os
```

Calculated values
- Total moment: 0.0 μB/f.u.

Model ii:
First-principles (GGA-PBE) data for a relaxed structure of LiNiOs2, as listed in the Alexandria database.

```
LiNiOs2
1.0
-2.555 -0.163 -3.917
-1.002 -3.572 3.484
-2.149 0.897 1.138
Li Ni Os
1 1 2
Cartesian
-1.575 -1.338 2.311 Li
-1.778 -1.868 -0.216 Ni
-2.352 0.367 -1.390 Os
0.000 0.000 0.000 Os
```

Calculated values
- Total moment: 0.0 μB/f.u.

Which of them is least stable? Easy: model ii.

Model i:
First-principles (GGA-PBE) data for a relaxed structure of LiNiOs2, as listed in the Alexandria database.

```
LiNiOs2
1.0
7.433 0.000 0.000
0.000 7.433 0.000
3.716 3.716 2.216
Os Li Ni
4 2 2
Cartesian
9.291 9.802 1.662 Os
5.575 5.064 1.662 Os
1.347 5.575 0.554 Os
6.086 1.858 0.554 Os
3.716 7.433 1.108 Li
3.716 3.716 0.000 Li
0.000 0.000 0.000 Ni
7.433 3.716 1.108 Ni
```

Calculated values
- Total moment: 0.0 μB/f.u.

Model ii:
First-principles (GGA-PBE) data for a relaxed structure of LiNiOs2, as listed in the Alexandria database.

```
LiNiOs2
1.0
-1.715 -0.776 2.019
1.598 -2.192 0.515
3.545 3.620 4.403
Ni Os Li
1 2 1
Cartesian
2.540 1.170 4.495 Ni
0.843 -0.563 2.387 Os
3.524 3.599 4.377 Os
1.837 1.876 2.282 Li
```

Calculated values
- Total moment: 0.0 μB/f.u.

Which of them is least stable? Easy: model i.